Record 1
Computed, not measured: an optimized crystal structure of Sr2Ga2Rh at the PBE level of DFT.

Cell and atoms, written as POSCAR:
```
Sr2Ga2Rh
1.0
5.8520 -2.2043 0.0000
5.8520 2.2043 0.0000
-5.1082 0.0000 10.1058
Sr Ga Rh
4 4 2
direct
0.0044 0.0044 0.1630
0.1949 0.1949 0.6168
0.8051 0.8051 0.3832
0.9956 0.9956 0.8370
0.3143 0.3143 0.9412
0.4978 0.4978 0.6209
0.5022 0.5022 0.3791
0.6857 0.6857 0.0588
0.2925 0.2925 0.1580
0.7075 0.7075 0.8420
```

Properties
excess energy over the best structure of this formula in the dataset: 0 meV/atom
energy of formation: -2.593 eV/f.u.
magnetization: 0.000 Bohr magnetons per cell
N(E_F): 0.63 states/eV/atom

Record 2
Computed, not measured: an optimized crystal structure of SrSi2Ni at the PBE level of DFT.

Cell and atoms, written as POSCAR:
```
SrSi2Ni
1.0
2.1439 -2.4189 0.0000
2.1439 2.4189 0.0000
0.0000 0.0000 6.9334
Sr Si Ni
1 2 1
direct
0.0000 0.0000 0.0000
0.5000 0.5000 0.3286
0.5000 0.5000 0.6714
0.0000 0.0000 0.5000
```

Properties
ΔE_f (raw): -136 meV/atom
magnetization: 0.000 Bohr magnetons per cell
N(E_F): 0.54 states/eV/atom

| no. | final energy (eV per atom) |
| --- | --- |
| 1 | -3.8723 |
| 2 | -4.7138 |